# 1
IrRh3: relaxed, PBEsol.

Output
* total moment: 0.000 Bohr magnetons per cell
* E: -8.570 eV per atom

Cell and atoms, written as POSCAR:
```
IrRh3
1.0
1.3393 0.7732 8.7588
-1.3393 0.7732 8.7588
0.0000 -1.5465 8.7588
Ir Rh
1 3
Cartesian
0.0000 0.0000 0.0000
0.0000 0.0000 6.5678
0.0000 0.0000 13.1382
0.0000 0.0000 19.7085
```



# 2
RbTi3Co: relaxed, PBEsol.

Output
* total moment: 0.007 Bohr magnetons per cell
* E: -5.994 eV per atom

Cell and atoms, written as POSCAR:
```
RbTi3Co
1.0
4.6801 0.0000 0.0000
0.0000 4.6801 0.0000
0.0000 0.0000 4.6801
Rb Ti Co
1 3 1
Cartesian
0.0000 0.0000 0.0000
0.0000 2.3400 2.3400
2.3400 0.0000 2.3400
2.3400 2.3400 0.0000
2.3400 2.3400 2.3400
```



# 3
Cs2NaLaCl6: relaxed, PBEsol.

Output
* uncorrected formation energy: -2.131 eV per atom
* total moment: 0.000 Bohr magnetons per cell

Cell and atoms, written as POSCAR:
```
Cs2NaLaCl6
1.0
0.0000 5.4541 5.4541
5.4541 0.0000 5.4541
5.4541 5.4541 0.0000
Cs Na La Cl
2 1 1 6
Cartesian
2.7270 2.7270 2.7270
8.1811 8.1811 8.1811
0.0000 0.0000 0.0000
5.4541 5.4541 5.4541
5.4541 5.4541 2.7173
5.4541 2.7173 5.4541
8.1909 5.4541 5.4541
2.7173 5.4541 5.4541
5.4541 8.1909 5.4541
5.4541 5.4541 8.1909
```



# 4
GaSeN2O: relaxed, PBEsol.

Output
* uncorrected formation energy: 0.934 eV per atom
* total moment: 0.000 Bohr magnetons per cell

Cell and atoms, written as POSCAR:
```
GaSeN2O
1.0
3.8161 0.0000 0.0000
0.0000 3.8161 0.0000
0.0000 0.0000 3.6656
Ga Se N O
1 1 2 1
Cartesian
0.0000 0.0000 0.0000
1.9080 1.9080 1.8328
0.0000 1.9080 1.8328
1.9080 0.0000 1.8328
1.9080 1.9080 0.0000
```



# 5
Li2MgHg: relaxed, PBEsol.

Output
* total moment: 0.000 Bohr magnetons per cell
* E above lowest polymorph: 24.5 meV per atom

Cell and atoms, written as POSCAR:
```
Li2MgHg
1.0
0.0000 3.2500 3.2500
3.2500 0.0000 3.2500
3.2500 3.2500 0.0000
Li Mg Hg
2 1 1
Cartesian
1.6250 1.6250 1.6250
4.8750 4.8750 4.8750
0.0000 0.0000 0.0000
3.2500 3.2500 3.2500
```



# 6
AlCd2In: relaxed, PBEsol.

Output
* total moment: 0.000 Bohr magnetons per cell
* E above lowest polymorph: 0.5 meV per atom

Cell and atoms, written as POSCAR:
```
AlCd2In
1.0
-2.2007 2.2007 4.3579
2.2007 -2.2007 4.3579
2.2007 2.2007 -4.3579
Al Cd In
1 2 1
Cartesian
0.0000 0.0000 0.0000
2.2007 0.0000 2.1790
0.0000 2.2007 2.1790
0.0000 0.0000 4.3579
```



# 7
SrTcSn2Sb: relaxed, PBEsol.

Output
* uncorrected formation energy: 0.212 eV per atom
* total moment: 0.831 Bohr magnetons per cell

Cell and atoms, written as POSCAR:
```
SrTcSn2Sb
1.0
5.1035 0.0000 0.0000
0.0000 5.1035 0.0000
0.0000 0.0000 5.5065
Sr Tc Sn Sb
1 1 2 1
Cartesian
0.0000 0.0000 0.0000
0.0000 0.0000 2.7532
0.0000 2.5518 2.7532
2.5518 0.0000 2.7532
2.5518 2.5518 0.0000
```



# 8
Sm3Ge4Ru2: relaxed, PBEsol.

Output
* total moment: 0.000 Bohr magnetons per cell
* E: -6.919 eV per atom

Cell and atoms, written as POSCAR:
```
Sm3Ge4Ru2
1.0
5.3988 -2.1545 0.0000
5.3988 2.1545 0.0000
-2.6991 0.0000 7.7268
Sm Ge Ru
3 4 2
Cartesian
0.0000 0.0000 0.0000
3.2782 0.0000 2.3422
4.8203 0.0000 5.3846
-0.0390 0.0000 3.1149
0.6173 0.0000 7.1110
7.4811 0.0000 0.6159
8.1374 0.0000 4.6119
1.6805 0.0000 4.9335
6.4179 0.0000 2.7933
```



Number 1: Fermi-level density of states 1.107 states/eV per atom. Number 2: Fermi-level density of states 1.623 states/eV per atom. Number 3: Fermi-level density of states 0.000 states/eV per atom. Number 4: Fermi-level density of states 0.351 states/eV per atom. Number 5: Fermi-level density of states 0.342 states/eV per atom. Number 6: Fermi-level density of states 0.383 states/eV per atom. Number 7: Fermi-level density of states 1.286 states/eV per atom. Number 8: Fermi-level density of states 0.511 states/eV per atom.